(1)
The following is a PBE calculation of a relaxed structure of PrPa2Te6, from the Alexandria database.

Cell lengths 7.356, 7.356, 13.511 Å; angles 90.00, 90.00, 90.00 degrees
Positions (direct):
Pr1 0.000 0.000 0.000
Pr2 0.500 0.500 0.500
Pa1 0.000 0.000 0.333
Pa2 0.000 0.000 0.667
Pa3 0.500 0.500 0.167
Pa4 0.500 0.500 0.833
Te1 0.193 0.193 0.500
Te2 0.206 0.206 0.175
Te3 0.206 0.206 0.825
Te4 0.294 0.706 0.325
Te5 0.294 0.706 0.675
Te6 0.307 0.693 0.000
Te7 0.693 0.307 0.000
Te8 0.706 0.294 0.325
Te9 0.706 0.294 0.675
Te10 0.794 0.794 0.175
Te11 0.794 0.794 0.825
Te12 0.807 0.807 0.500

Values from the calculation:
E_form (uncorrected): -857 meV per atom
energy: -5.592 eV/atom
ρ: 6.22 Mg/m³
size of the total moment: 1.087 μB/f.u.



(2)
The following is a PBE calculation of a relaxed structure of AlIr2Cl, from the Alexandria database.

Cell lengths 2.895, 2.895, 8.576 Å; angles 90.00, 90.00, 120.97 degrees
Positions (direct):
Al1 0.000 0.000 0.000
Ir1 0.500 0.500 0.235
Ir2 0.500 0.500 0.765
Cl1 0.000 0.000 0.500

Values from the calculation:
E_form (uncorrected): 114 meV per atom
energy: -5.714 eV/atom
ρ: 12.04 Mg/m³
size of the total moment: 0.000 μB/f.u.



(3)
The following is a PBE calculation of a relaxed structure of KZrAlSe4, from the Alexandria database.

Cell lengths 6.561, 7.036, 9.278 Å; angles 90.00, 110.63, 90.00 degrees
Positions (direct):
K1 0.240 0.250 0.456
K2 0.760 0.750 0.544
Zr1 0.287 0.250 0.953
Zr2 0.713 0.750 0.047
Al1 0.259 0.750 0.155
Al2 0.741 0.250 0.845
Se1 0.001 0.750 0.905
Se2 0.059 0.750 0.321
Se3 0.476 0.504 0.807
Se4 0.476 0.996 0.807
Se5 0.524 0.004 0.193
Se6 0.524 0.496 0.193
Se7 0.941 0.250 0.679
Se8 0.999 0.250 0.095

Values from the calculation:
E_form (uncorrected): -1147 meV per atom
energy: -5.050 eV/atom
ρ: 3.92 Mg/m³
size of the total moment: 0.000 μB/f.u.